No. 1
First-principles (PBE) data for LiZrIr2 after structural relaxation, as listed in Alexandria via LeMat-Bulk.

a = 3.3658 Å, b = 3.3658 Å, c = 5.6594 Å
α = 90.00°, β = 90.00°, γ = 90.00°
Space group P4mm (No. 99)
One atom of each set of equivalent atoms:
Li 0.0000 0.0000 0.0000 (multiplicity 1)
Zr 0.5000 0.5000 0.2963 (multiplicity 1)
Ir 0.0000 0.0000 0.5249 (multiplicity 1)
Ir 0.5000 0.5000 0.8315 (multiplicity 1)

Properties
The density of states at the Fermi level comes out at 3.93 states/eV/cell. The calculated volume is 64 Å³ per cell. The formation energy comes out at -0.157 eV per atom. The value obtained for the uncorrected energy is -7.203 eV/atom.



No. 2
First-principles (PBE) data for AcTbPm2Tl2 after structural relaxation, as listed in Alexandria via LeMat-Bulk.

a = 4.9081 Å, b = 9.5721 Å, c = 8.5685 Å
α = 90.00°, β = 90.00°, γ = 90.00°
Space group Pmc2_1 (No. 26)
One atom of each set of equivalent atoms:
Ac 0.0000 0.0842 0.0000 (multiplicity 2)
Tb 0.5000 0.1884 0.6658 (multiplicity 2)
Pm 0.0000 0.3249 0.3851 (multiplicity 2)
Pm 0.5000 0.4214 0.0514 (multiplicity 2)
Tl 0.0000 0.3741 0.7579 (multiplicity 2)
Tl 0.5000 0.1265 0.2898 (multiplicity 2)

Properties
The density of states at the Fermi level comes out at 10.42 states/eV/cell. The calculated volume is 403 Å³ per cell. The formation energy comes out at -0.249 eV per atom. The value obtained for the uncorrected energy is -4.078 eV/atom.



No. 3
First-principles (PBE) data for LiSBrCl2 after structural relaxation, as listed in Alexandria via LeMat-Bulk.

a = 4.2336 Å, b = 4.2336 Å, c = 8.0653 Å
α = 90.00°, β = 90.00°, γ = 90.00°
Space group P4/mmm (No. 123)
One atom of each set of equivalent atoms:
Li 0.0000 0.0000 0.0000 (multiplicity 1)
S 0.0000 0.0000 0.5000 (multiplicity 1)
Br 0.5000 0.5000 0.5000 (multiplicity 1)
Cl 0.0000 0.5000 0.0000 (multiplicity 2)

Properties
The density of states at the Fermi level comes out at 6.28 states/eV/cell. The calculated volume is 145 Å³ per cell. The value obtained for the uncorrected energy is -2.295 eV/atom.



No. 4
First-principles (PBE) data for Li3Tm3TcO8 after structural relaxation, as listed in Alexandria via LeMat-Bulk.

a = 6.5404 Å, b = 6.5404 Å, c = 14.9014 Å
α = 90.00°, β = 90.00°, γ = 120.00°
Space group R-3m (No. 166, hexagonal axes)
One atom of each set of equivalent atoms:
Li 0.0000 0.5000 0.0000 (multiplicity 9)
Tm 0.0000 0.5000 0.5000 (multiplicity 9)
Tc 0.0000 0.0000 0.5000 (multiplicity 3)
O 0.0000 0.0000 0.2436 (multiplicity 6)
O 0.0256 0.5128 0.2416 (multiplicity 18)

Properties
The calculated volume is 552 Å³ per cell. The value obtained for the uncorrected energy is -7.229 eV/atom.



No. 5
First-principles (PBE) data for NdNpB12 after structural relaxation, as listed in Alexandria via LeMat-Bulk.

a = 4.1109 Å, b = 4.1109 Å, c = 8.2288 Å
α = 90.00°, β = 90.00°, γ = 90.00°
Space group P4/mmm (No. 123)
One atom of each set of equivalent atoms:
Nd 0.0000 0.0000 0.0000 (multiplicity 1)
Np 0.0000 0.0000 0.5000 (multiplicity 1)
B 0.1986 0.5000 0.2514 (multiplicity 8)
B 0.5000 0.5000 0.1002 (multiplicity 2)
B 0.5000 0.5000 0.4013 (multiplicity 2)

Properties
The density of states at the Fermi level comes out at 7.53 states/eV/cell. The calculated volume is 139 Å³ per cell. The formation energy comes out at -0.378 eV per atom. The value obtained for the uncorrected energy is -7.367 eV/atom.



No. 6
First-principles (PBE) data for Dy3MgCd7 after structural relaxation, as listed in Alexandria via LeMat-Bulk.

a = 3.5118 Å, b = 19.9716 Å, c = 15.6260 Å
α = 90.00°, β = 90.00°, γ = 90.00°
Space group Cmcm (No. 63)
One atom of each set of equivalent atoms:
Dy 0.0000 0.0608 0.0901 (multiplicity 8)
Dy 0.0000 0.3357 0.7500 (multiplicity 4)
Mg 0.0000 0.1186 0.7500 (multiplicity 4)
Cd 0.0000 0.2792 0.1509 (multiplicity 8)
Cd 0.0000 0.3091 0.5408 (multiplicity 8)
Cd 0.0000 0.4226 0.0887 (multiplicity 8)
Cd 0.0000 0.4929 0.7500 (multiplicity 4)

Properties
The density of states at the Fermi level comes out at 33.90 states/eV/cell. The calculated volume is 1096 Å³ per cell. The formation energy comes out at -0.168 eV per atom. The value obtained for the uncorrected energy is -2.150 eV/atom.